[1]
Compound: NpGaF6
Source: the Alexandria database
Functional: PBE-GGA
Structure: optimized geometry

Lattice parameters (Å, degrees): 4.6568 4.6568 4.6548 97.69 97.69 98.24
Last column: magnetic moment on the atom in μB.
Fractional coordinates of all 8 atoms:
F (0.5654, 0.2029, 0.2040)  -0.01
F (0.7962, 0.7962, 0.4278)  -0.01
F (0.7971, 0.4346, 0.7960)  -0.01
Np (0.0000, 0.0000, 0.0000)  3.98
F (0.2038, 0.2038, 0.5722)  -0.01
Ga (0.5000, 0.5000, 0.5000)  0.00
F (0.4346, 0.7971, 0.7960)  -0.01
F (0.2029, 0.5654, 0.2040)  -0.01



[2]
Compound: Np2GaF11
Source: the Alexandria database
Functional: PBE-GGA
Structure: optimized geometry

Lattice parameters (Å, degrees): 8.8049 8.0932 8.6267 72.49 59.31 57.05
Last column: magnetic moment on the atom in μB.
Fractional coordinates of all 28 atoms:
F (0.6325, 0.2954, 0.7466)  -0.01
F (0.9380, 0.8223, 0.4957)  -0.01
F (0.5622, 0.1555, 0.4495)  -0.04
Np (0.8807, 0.2251, 0.8050)  3.03
F (0.8238, 0.5445, 0.7161)  -0.01
Np (0.4107, 0.2749, 0.6950)  3.03
F (0.1744, 0.2046, 0.7534)  -0.01
F (0.3675, 0.7046, 0.2534)  -0.01
Np (0.5893, 0.7251, 0.3050)  3.03
Ga (0.8519, 0.7500, 0.7500)  0.00
Np (0.1193, 0.7749, 0.1950)  3.03
F (0.8950, 0.9344, 0.7948)  0.00
F (0.1050, 0.0656, 0.2052)  0.00
F (0.0620, 0.1777, 0.5043)  -0.01
F (0.7560, 0.6777, 0.0043)  -0.01
F (0.1242, 0.5656, 0.7052)  0.00
F (0.4156, 0.0445, 0.2161)  -0.01
Ga (0.1481, 0.2500, 0.2500)  0.00
F (0.2440, 0.3223, 0.9957)  -0.01
F (0.0000, 0.0000, 0.0000)  -0.01
F (0.5000, 0.5000, 0.5000)  -0.01
F (0.8758, 0.4344, 0.2948)  0.00
F (0.5844, 0.9555, 0.7839)  -0.01
F (0.6673, 0.3445, 0.0505)  -0.04
F (0.1762, 0.4555, 0.2839)  -0.01
F (0.8256, 0.7954, 0.2466)  -0.01
F (0.3327, 0.6555, 0.9495)  -0.04
F (0.4378, 0.8445, 0.5505)  -0.04



[3]
Compound: GaOF2
Source: the Alexandria database
Functional: PBE-GGA
Structure: optimized geometry

Lattice parameters (Å, degrees): 3.4077 3.4077 7.4235 76.73 76.73 90.00
Last column: magnetic moment on the atom in μB.
Fractional coordinates of all 8 atoms:
Ga (0.0000, 0.0000, 0.0000)  -0.03
F (0.0869, 0.6250, 0.2500)  0.09
F (0.8750, 0.9131, 0.7500)  0.10
Ga (0.7500, 0.2500, 0.5000)  -0.03
O (0.5000, 0.5000, 0.0000)  0.71
F (0.6631, 0.1250, 0.2500)  0.09
O (0.2500, 0.7500, 0.5000)  0.71
F (0.3750, 0.3369, 0.7500)  0.10

Distance to the lowest polymorph of the same formula in meV/atom: 0



[4]
Compound: Ga2O2F
Source: the Alexandria database
Functional: PBE-GGA
Structure: optimized geometry

Lattice parameters (Å, degrees): 6.3876 6.3876 6.4059 119.91 119.91 90.00
Fractional coordinates of all 10 atoms:
Ga (0.4566, 0.1753, 0.3505)
F (0.0759, 0.0759, 0.1517)
O (0.5825, 0.3771, 0.7542)
Ga (0.8939, 0.1753, 0.3505)
O (0.6271, 0.3325, 0.2542)
O (0.1717, 0.3771, 0.7542)
O (0.6271, 0.9217, 0.2542)
F (0.3259, 0.8259, 0.6517)
Ga (0.4253, 0.2066, 0.8505)
Ga (0.4253, 0.6439, 0.8505)



[5]
Compound: GaOF2
Source: the Alexandria database
Functional: PBE-GGA
Structure: optimized geometry

Lattice parameters (Å, degrees): 7.2801 7.2801 7.2801 26.47 26.47 26.47
Last column: magnetic moment on the atom in μB.
Fractional coordinates of all 4 atoms:
F (0.8767, 0.8767, 0.8767)  0.02
Ga (0.5000, 0.5000, 0.5000)  0.03
O (0.0000, 0.0000, 0.0000)  1.44
F (0.1233, 0.1233, 0.1233)  0.02

Distance to the lowest polymorph of the same formula in meV/atom: 188



[6]
Compound: Ga2O2F
Source: the Alexandria database
Functional: PBE-GGA
Structure: optimized geometry

Lattice parameters (Å, degrees): 3.6144 3.6144 5.0552 69.05 69.05 90.00
Fractional coordinates of all 5 atoms:
Ga (0.3465, 0.3465, 0.3070)
F (0.0000, 0.0000, 0.0000)
O (0.2500, 0.7500, 0.5000)
O (0.7500, 0.2500, 0.5000)
Ga (0.6535, 0.6535, 0.6930)



no.,ΔE_f (raw) (eV per atom),final energy (eV/atom),M_tot (μB per formula unit)
1,-2.961,-6.361,4.0
2,-3.180,-6.715,6.0
3,-0.920,-3.852,1.0
4,-1.577,-5.145,0.0
5,-0.732,-3.664,1.9
6,-1.497,-5.066,0.0